The following is a PBE calculation of NaSnAs2 after structural relaxation, from Alexandria.

Properties
V   100.1 Å³ per cell
ΔH_f (0 K)   -31 kJ/mol of formula units

a = 8.055 Å, b = 8.055 Å, c = 8.055 Å
α = 27.76°, β = 27.76°, γ = 27.76°
Sites, in units of the cell vectors:
Na 0.000 0.000 0.000
Sn 0.167 0.167 0.167
As 0.572 0.572 0.572
As 0.761 0.761 0.761

***

The following is a PBE calculation of NaSnAs after structural relaxation, from Alexandria.

Properties
V   85.8 Å³ per cell
ΔH_f (0 K)   -43 kJ/mol of formula units

a = 4.951 Å, b = 4.951 Å, c = 4.951 Å
α = 60.00°, β = 60.00°, γ = 60.00°
Sites, in units of the cell vectors:
Na 0.000 0.000 0.000
Sn 0.500 0.500 0.500
As 0.750 0.750 0.750

***

Density? In order: 4836; 4190 kg/m3.